Record 1
First-principles (PBE) data for a relaxed NpVIr2 crystal, as listed in Alexandria via LeMat-Bulk.

The space group is R-3m (No. 166, hexagonal axes) and the conventional cell measures 4.1883, 4.1883 and 14.4327 Å, with angles of 90.00, 90.00 and 120.00 degrees. The inequivalent atoms are Np at (0.0000, 0.0000, 0.0000), V at (0.0000, 0.0000, 0.5000) and Ir at (0.0000, 0.0000, 0.2194).

The calculation puts the size of the total moment at 9.93 μB per cell. The calculation puts the formation energy at -160.5 meV per atom. The energy above the most stable polymorph in this dataset is 179 meV per atom.

=====

Record 2
First-principles (PBE) data for a relaxed ErMgTl3 crystal, as listed in Alexandria via LeMat-Bulk.

The space group is Pmmn (No. 59, origin choice 2) and the conventional cell measures 4.674, 7.320 and 7.933 Å, with angles of 90.00, 90.00 and 90.00 degrees. The inequivalent atoms are Er at (0.250, 0.250, 0.218), Mg at (0.250, 0.750, 0.440), Tl at (0.250, 0.035, 0.707) and Tl at (0.250, 0.750, 0.064).

The calculation puts the size of the total moment at 0.00 μB per cell. The calculation puts the formation energy at -49.3 meV per atom.

=====

Record 3
First-principles (PBE) data for a relaxed K3TlF8 crystal, as listed in Alexandria via LeMat-Bulk.

The space group is I4/mmm (No. 139) and the conventional cell measures 6.005, 6.005 and 12.272 Å, with angles of 90.00, 90.00 and 90.00 degrees. The inequivalent atoms are K at (0.000, 0.000, 0.000), K at (0.000, 0.500, 0.250), Tl at (0.000, 0.000, 0.500) and F at (0.218, 0.218, 0.389).

The calculation puts the size of the total moment at 4.07 μB per cell. The energy relative to the elements, uncorrected is -1.986 eV/atom.